Er3HfTe2C2 | PBE-GGA | optimized geometry

Calculated values
Uncorrected energy (eV per formula unit): -55.2
Space group: P3m1

Unit cell a=3.702 b=3.702 c=13.814 alpha=90.00 beta=90.00 gamma=120.00
Element x y z (fractional)
Er  0.000  0.000  0.000
Er  0.000  0.000  0.320
Er  0.667  0.333  0.812
Hf  0.667  0.333  0.498
Te  0.000  0.000  0.645
Te  0.667  0.333  0.162
C  0.333  0.667  0.422
C  0.333  0.667  0.904

***

ErHf3Te2C2 | PBE-GGA | optimized geometry

Calculated values
Uncorrected energy (eV per formula unit): -65.9
Space group: P3m1

Unit cell a=3.556 b=3.556 c=13.462 alpha=90.00 beta=90.00 gamma=120.00
Element x y z (fractional)
Er  0.000  0.000  0.000
Hf  0.000  0.000  0.673
Hf  0.667  0.333  0.184
Hf  0.667  0.333  0.502
Te  0.000  0.000  0.344
Te  0.667  0.333  0.827
C  0.333  0.667  0.104
C  0.333  0.667  0.587

***

ErHfTlC | PBE-GGA | optimized geometry

Calculated values
E above lowest polymorph (meV/atom): 1
Space group: P6_3mc

Unit cell a=3.437 b=3.437 c=15.532 alpha=90.00 beta=90.00 gamma=120.00
Element x y z (fractional)
Er  0.333  0.667  0.000
Er  0.667  0.333  0.500
Hf  0.333  0.667  0.666
Hf  0.667  0.333  0.166
Tl  0.333  0.667  0.330
Tl  0.667  0.333  0.830
C  0.000  0.000  0.095
C  0.000  0.000  0.595

***

ErHfTlC | PBE-GGA | optimized geometry

Calculated values
E above lowest polymorph (meV/atom): 0
Space group: P-6m2

Unit cell a=3.437 b=3.437 c=15.512 alpha=90.00 beta=90.00 gamma=120.00
Element x y z (fractional)
Er  0.000  0.000  0.173
Er  0.000  0.000  0.827
Hf  0.667  0.333  0.339
Hf  0.667  0.333  0.661
Tl  0.000  0.000  0.500
Tl  0.667  0.333  0.000
C  0.333  0.667  0.268
C  0.333  0.667  0.732

***

ErHfTlC | PBE-GGA | optimized geometry

Calculated values
E above lowest polymorph (meV/atom): 27
Space group: P-3m1

Unit cell a=3.447 b=3.447 c=15.527 alpha=90.00 beta=90.00 gamma=120.00
Element x y z (fractional)
Er  0.333  0.667  0.413
Er  0.667  0.333  0.587
Hf  0.333  0.667  0.077
Hf  0.667  0.333  0.923
Tl  0.333  0.667  0.760
Tl  0.667  0.333  0.240
C  0.000  0.000  0.000
C  0.000  0.000  0.500

***

ErHf3Tl2C2 | PBE-GGA | optimized geometry

Calculated values
Uncorrected energy (eV per formula unit): -62.1
Space group: P3m1

Unit cell a=3.383 b=3.383 c=15.203 alpha=90.00 beta=90.00 gamma=120.00
Element x y z (fractional)
Er  0.000  0.000  0.000
Hf  0.000  0.000  0.658
Hf  0.667  0.333  0.170
Hf  0.667  0.333  0.501
Tl  0.000  0.000  0.336
Tl  0.667  0.333  0.825
C  0.333  0.667  0.097
C  0.333  0.667  0.579

***

Ho2Er2C3 | PBE-GGA | optimized geometry

Calculated values
Uncorrected energy (eV per formula unit): -47.7
Space group: C2/m

Unit cell a=6.681 b=6.681 c=6.040 alpha=113.90 beta=113.90 gamma=31.76
Element x y z (fractional)
Ho  0.136  0.136  0.496
Ho  0.864  0.864  0.504
Er  0.367  0.367  0.053
Er  0.633  0.633  0.947
C  0.221  0.221  0.209
C  0.500  0.500  0.500
C  0.779  0.779  0.791

***

HoErC2 | PBE-GGA | optimized geometry

Calculated values
Uncorrected energy (eV per formula unit): -27.6
Space group: Amm2

Unit cell a=3.827 b=4.345 c=4.345 alpha=79.86 beta=90.00 gamma=90.00
Element x y z (fractional)
Ho  0.000  0.000  0.000
Er  0.500  0.435  0.435
C  0.500  0.658  0.908
C  0.500  0.908  0.658

***

HoErC | PBE-GGA | optimized geometry

Calculated values
Uncorrected energy (eV per formula unit): -19.3
Space group: C2/m

Unit cell a=6.401 b=6.401 c=6.171 alpha=99.27 beta=99.27 gamma=32.33
Element x y z (fractional)
Ho  0.110  0.110  0.370
Ho  0.890  0.890  0.630
Er  0.391  0.391  0.130
Er  0.609  0.609  0.870
C  0.000  0.000  0.000
C  0.500  0.500  0.500

***

K2HoEr3C2 | PBE-GGA | optimized geometry

Calculated values
Uncorrected energy (eV per formula unit): -39.4
Space group: P3m1

Unit cell a=3.594 b=3.594 c=20.493 alpha=90.00 beta=90.00 gamma=120.00
Element x y z (fractional)
K  0.000  0.000  0.000
K  0.333  0.667  0.501
Ho  0.333  0.667  0.186
Er  0.000  0.000  0.315
Er  0.000  0.000  0.686
Er  0.333  0.667  0.814
C  0.667  0.333  0.251
C  0.667  0.333  0.750

***

HoErNi2C2N2 | PBE-GGA | optimized geometry

Calculated values
Uncorrected energy (eV per formula unit): -60.6
Space group: P4mm

Unit cell a=3.433 b=3.433 c=7.291 alpha=90.00 beta=90.00 gamma=90.00
Element x y z (fractional)
Ho  0.000  0.000  0.000
Er  0.500  0.500  0.656
Ni  0.000  0.500  0.328
Ni  0.500  0.000  0.328
C  0.000  0.000  0.489
C  0.500  0.500  0.166
N  0.000  0.000  0.682
N  0.500  0.500  0.973

***

HoEr3Pb2C2 | PBE-GGA | optimized geometry

Calculated values
Uncorrected energy (eV per formula unit): -48.3
Space group: P3m1

Unit cell a=3.611 b=3.611 c=15.972 alpha=90.00 beta=90.00 gamma=120.00
Element x y z (fractional)
Ho  0.000  0.000  0.000
Er  0.000  0.000  0.664
Er  0.667  0.333  0.164
Er  0.667  0.333  0.500
Pb  0.000  0.000  0.332
Pb  0.667  0.333  0.832
C  0.333  0.667  0.082
C  0.333  0.667  0.582